(1)
## SbTeHN2 (PBE)

Data for SbTeHN2 after structural relaxation.

For the energy relative to the lowest polymorph listed for this composition, the calculation gives 0 meV/atom.

The space group is P4/mmm (No. 123) and the conventional cell measures 3.927, 3.927 and 6.362 Å, with angles of 90.00, 90.00 and 90.00 degrees. The inequivalent atoms are Sb at (0.000, 0.000, 0.000), Te at (0.000, 0.000, 0.500), H at (0.500, 0.500, 0.500) and N at (0.000, 0.500, 0.000).

(2)
## SbTeHN2 (PBE)

Data for SbTeHN2 after structural relaxation.

For the energy relative to the lowest polymorph listed for this composition, the calculation gives 149 meV/atom.

The space group is P4/mmm (No. 123) and the conventional cell measures 4.406, 4.406 and 3.439 Å, with angles of 90.00, 90.00 and 90.00 degrees. The inequivalent atoms are Sb at (0.000, 0.000, 0.000), Te at (0.500, 0.500, 0.000), H at (0.500, 0.500, 0.500) and N at (0.000, 0.500, 0.500).

(3)
## SbTe2HN (PBE)

Data for SbTe2HN after structural relaxation.

For the energy relative to the lowest polymorph listed for this composition, the calculation gives 45 meV/atom.

The space group is P4/mmm (No. 123) and the conventional cell measures 4.740, 4.740 and 4.776 Å, with angles of 90.00, 90.00 and 90.00 degrees. The inequivalent atoms are Sb at (0.000, 0.000, 0.000), Te at (0.000, 0.500, 0.500), H at (0.500, 0.500, 0.000) and N at (0.000, 0.000, 0.500).

(4)
## Th2Sb2HN (PBE)

Data for Th2Sb2HN after structural relaxation.

The calculation puts the raw total energy at -6.750 eV per atom.

The space group is Ibam (No. 72) and the conventional cell measures 5.821, 15.305 and 5.848 Å, with angles of 90.00, 90.00 and 90.00 degrees. The inequivalent atoms are Th at (0.225, 0.085, 0.000), Sb at (0.233, 0.309, 0.000), H at (0.000, 0.500, 0.250) and N at (0.000, 0.000, 0.250).

(5)
## Ti6Sb2HN (PBE)

Data for Ti6Sb2HN after structural relaxation.

The calculation puts the raw total energy at -7.405 eV per atom.

The space group is I4/mmm (No. 139) and the conventional cell measures 5.813, 5.813 and 8.634 Å, with angles of 90.00, 90.00 and 90.00 degrees. The inequivalent atoms are Ti at (0.000, 0.000, 0.248), Ti at (0.250, 0.250, 0.000), Sb at (0.000, 0.500, 0.250), H at (0.000, 0.000, 0.000) and N at (0.000, 0.000, 0.500).

(6)
## ZnSbH2N (PBE)

Data for ZnSbH2N after structural relaxation.

The calculation puts the raw total energy at -2.924 eV per atom.

The space group is P4/mmm (No. 123) and the conventional cell measures 3.779, 3.779 and 4.089 Å, with angles of 90.00, 90.00 and 90.00 degrees. The inequivalent atoms are Zn at (0.000, 0.000, 0.000), Sb at (0.500, 0.500, 0.000), H at (0.000, 0.500, 0.500) and N at (0.000, 0.000, 0.500).

(7)
## Sc4HN2 (PBE)

Data for Sc4HN2 after structural relaxation.

The calculation puts the raw total energy at -6.961 eV per atom.

The space group is I4/mmm (No. 139) and the conventional cell measures 4.062, 4.062 and 12.002 Å, with angles of 90.00, 90.00 and 90.00 degrees. The inequivalent atoms are Sc at (0.000, 0.000, 0.228), Sc at (0.000, 0.500, 0.000), H at (0.000, 0.000, 0.000) and N at (0.000, 0.000, 0.391).

(8)
## Sc4H2N3 (PBE)

Data for Sc4H2N3 after structural relaxation.

The calculation puts the raw total energy at -7.704 eV per atom.

The space group is C2/m (No. 12) and the conventional cell measures 10.664, 3.164 and 8.100 Å, with angles of 90.00, 127.25 and 90.00 degrees. The inequivalent atoms are Sc at (0.090, 0.000, 0.394), Sc at (0.241, 0.500, 0.799), H at (0.148, 0.000, 0.879), N at (0.000, 0.500, 0.500) and N at (0.182, 0.500, 0.294).

(9)
## Sc2HN2 (PBE)

Data for Sc2HN2 after structural relaxation.

For the energy relative to the lowest polymorph listed for this composition, the calculation gives 0 meV/atom.

The space group is P4/mbm (No. 127) and the conventional cell measures 6.043, 6.043 and 2.889 Å, with angles of 90.00, 90.00 and 90.00 degrees. The inequivalent atoms are Sc at (0.162, 0.338, 0.000), H at (0.000, 0.000, 0.500) and N at (0.156, 0.656, 0.500).

(10)
## Sc2HN2 (PBE)

Data for Sc2HN2 after structural relaxation.

For the energy relative to the lowest polymorph listed for this composition, the calculation gives 97 meV/atom.

The space group is I4/mmm (No. 139) and the conventional cell measures 4.216, 4.216 and 7.709 Å, with angles of 90.00, 90.00 and 90.00 degrees. The inequivalent atoms are Sc at (0.000, 0.500, 0.250), H at (0.000, 0.000, 0.000) and N at (0.000, 0.000, 0.300).

(11)
## Sc6HN (PBE)

Data for Sc6HN after structural relaxation.

The calculation puts the raw total energy at -6.744 eV per atom.

The space group is P-31c (No. 163) and the conventional cell measures 5.7146, 5.7146 and 10.4668 Å, with angles of 90.00, 90.00 and 120.00 degrees. The inequivalent atoms are Sc at (0.0046, 0.3207, 0.1221), H at (0.3333, 0.6667, 0.2500) and N at (0.0000, 0.0000, 0.0000).

(12)
## Sc6HN5 (PBE)

Data for Sc6HN5 after structural relaxation.

The calculation puts the raw total energy at -8.626 eV per atom.

The space group is C2/m (No. 12) and the conventional cell measures 5.555, 9.599 and 5.552 Å, with angles of 90.00, 109.58 and 90.00 degrees. The inequivalent atoms are Sc at (0.236, 0.000, 0.265), Sc at (0.238, 0.176, 0.744), H at (0.000, 0.500, 0.000), N at (0.000, 0.000, 0.500), N at (0.000, 0.167, 0.000) and N at (0.000, 0.334, 0.500).

Values of mass density, in order: 4.7, 6.9, 6.1, 9.2, 6.2, 5.8, 3.5, 3.4, 3.7, 2.9, 3.2, 4.1, all in g/cm3.